No. 1
Density functional theory data (PBE-GGA) for a relaxed K2TeW crystal.

ρ = 4.949 Mg/m³
formation energy (no corrections) = 0.69 eV/atom
space group = No. 160
DOS(E_F) = 0.843 states/eV per atom
uncorrected energy = -3.883 eV per atom

Cell: 11.8520 11.8520 11.8520 Å, 17.46 17.46 17.46°
Closest atoms and distances in Å follow each position.
Fractional positions:
W (0.7671, 0.7671, 0.7671)  3 Te 2.70
K (0.0176, 0.0176, 0.0176)  3 W 3.57, 6 K 3.60
K (0.2321, 0.2321, 0.2321)  3 Te 3.55, 6 K 3.60
Te (0.4831, 0.4831, 0.4831)  3 W 2.70

---

No. 2
Density functional theory data (PBE-GGA) for a relaxed KTeW crystal.

relative energy among the computed polymorphs = 0.2461 eV per atom
ρ = 5.684 Mg/m³
formation energy (no corrections) = 0.93 eV/atom
space group = No. 187
DOS(E_F) = 1.163 states/eV per atom
uncorrected energy = -4.799 eV per atom

Cell: 4.6648 4.6648 5.4345 Å, 90.00 90.00 120.00°
Closest atoms and distances in Å follow each position.
Fractional positions:
Te (0.6667, 0.3333, 0.5001)  3 W 2.69
K (0.0000, 0.0000, 0.0001)  6 W 3.82-3.83, 6 Te 3.83
W (0.3333, 0.6667, 0.4998)  3 Te 2.69

---

No. 3
Density functional theory data (PBE-GGA) for a relaxed KTeW2 crystal.

ρ = 9.724 Mg/m³
formation energy (no corrections) = 1.14 eV/atom
space group = No. 71
DOS(E_F) = 0.872 states/eV per atom
uncorrected energy = -6.401 eV per atom

Cell: 6.9507 6.9507 5.2944 Å, 112.35 112.35 22.77°
Closest atoms and distances in Å follow each position.
Fractional positions:
K (0.7500, 0.7500, 0.7500)  2 K 2.74, 4 Te 2.98
Te (0.2500, 0.2500, 0.2500)  2 Te 2.74, 2 W 2.82, 4 K 2.98
W (0.4747, 0.4747, 0.4747)  6 W 2.74-3.05, 1 Te 2.82
W (0.0253, 0.0253, 0.0253)  6 W 2.74-3.05, 1 Te 2.82